FeIF3 after structural relaxation. Source: Alexandria via LeMat-Bulk, functional PBE with a Hubbard U.

Relative energy among the computed polymorphs, meV per atom: 516
Calculated total energy, eV per atom: -3.8595

Lattice parameters (Å, degrees): 4.2258 4.2258 4.2258 90.00 90.00 90.00
Space group Pm-3m (No. 221)
Unique sites:
Fe 0.0000 0.0000 0.0000 (multiplicity 1)
I 0.5000 0.5000 0.5000 (multiplicity 1)
F 0.0000 0.0000 0.5000 (multiplicity 3)